1.
Below is crystalline Sc2Al2Ag at its relaxed geometry, with properties calculated at the GGA-PBEsol level.

Properties
As for the calculated formation energy: -388 meV/atom. As for the magnetic moment: 0.00 μB per formula unit.

a = 6.6829 Å, b = 6.6829 Å, c = 4.2796 Å
α = 90.00°, β = 90.00°, γ = 90.00°
With the nearest neighbours (Å) after each atom.
Positions (direct):
Sc (0.1651, 0.3349, 0.0000)  6 Al 2.84-2.95, 1 Sc 3.12
Sc (0.3349, 0.8349, 0.0000)  6 Al 2.84-2.95, 1 Sc 3.12
Sc (0.6651, 0.1651, 0.0000)  6 Al 2.84-2.95, 1 Sc 3.12
Sc (0.8349, 0.6651, 0.0000)  6 Al 2.84-2.95, 1 Sc 3.12
Al (0.1367, 0.6367, 0.5000)  1 Al 2.58, 2 Ag 2.59, 2 Sc 2.84
Al (0.3633, 0.1367, 0.5000)  1 Al 2.58, 2 Ag 2.59, 2 Sc 2.84
Al (0.6367, 0.8633, 0.5000)  1 Al 2.58, 2 Ag 2.59, 2 Sc 2.84
Al (0.8633, 0.3633, 0.5000)  1 Al 2.58, 2 Ag 2.59, 2 Sc 2.84
Ag (0.0000, 0.0000, 0.5000)  4 Al 2.59
Ag (0.5000, 0.5000, 0.5000)  4 Al 2.59


2.
Below is crystalline RbLaS2 at its relaxed geometry, with properties calculated at the GGA-PBEsol level.

Properties
As for the magnetic moment: 0.00 μB per formula unit. As for the energy relative to the elements, uncorrected: -1.897 eV per atom.

a = 7.9355 Å, b = 7.9355 Å, c = 7.9355 Å
α = 31.19°, β = 31.19°, γ = 31.19°
With the nearest neighbours (Å) after each atom.
Positions (direct):
Rb (0.0000, 0.0000, 0.0000)  6 S 3.35
La (0.5000, 0.5000, 0.5000)  6 S 2.88
S (0.2330, 0.2330, 0.2330)  3 La 2.88
S (0.7670, 0.7670, 0.7670)  3 La 2.88


3.
Below is crystalline BaCa2La at its relaxed geometry, with properties calculated at the GGA-PBEsol level.

Properties
As for the calculated formation energy: 96 meV/atom. As for the magnetic moment: 0.00 μB per formula unit. The relative energy among the computed polymorphs is 10 meV per atom.

a = 3.7386 Å, b = 3.7386 Å, c = 12.6882 Å
α = 90.00°, β = 90.00°, γ = 110.60°
With the nearest neighbours (Å) after each atom.
Positions (direct):
Ba (0.0000, 0.0000, 0.0000)  4 Ba 3.74, 4 Ca 3.95
Ca (0.5000, 0.5000, 0.2621)  2 La 3.69, 4 Ca 3.74, 2 Ba 3.95
Ca (0.5000, 0.5000, 0.7379)  2 La 3.69, 4 Ca 3.74, 2 Ba 3.95
La (0.0000, 0.0000, 0.5000)  4 Ca 3.69, 4 La 3.74


4.
Below is crystalline K2AlW at its relaxed geometry, with properties calculated at the GGA-PBEsol level.

Properties
As for the calculated formation energy: 1296 meV/atom. As for the magnetic moment: 0.00 μB per formula unit.

a = 6.5595 Å, b = 6.5595 Å, c = 2.7781 Å
α = 90.00°, β = 90.00°, γ = 129.42°
With the nearest neighbours (Å) after each atom.
Positions (direct):
K (0.0000, 0.5000, 0.0000)  4 K 2.78-2.80
K (0.5000, 0.0000, 0.0000)  4 K 2.78-2.80
Al (0.0000, 0.0000, 0.5000)  2 Al 2.78, 2 W 2.80
W (0.5000, 0.5000, 0.5000)  2 W 2.78, 2 Al 2.80